Record 1
Crystalline Ca2MgSc at its relaxed geometry, computed with GGA-PBE.

Unit cell a=3.5987 b=3.5987 c=34.2193 alpha=90.00 beta=90.00 gamma=120.00
Space group R3m (No. 160, hexagonal axes)
Asymmetric unit:
Ca 0.0000 0.0000 0.0000
Ca 0.0000 0.0000 0.2368
Mg 0.0000 0.0000 0.7472
Sc 0.0000 0.0000 0.4844

Results
Total magnetization in μB per atom: 0.090
Crystal system: trigonal
E_form in meV/atom: 134

=====

Record 2
Crystalline Ca2MgSc at its relaxed geometry, computed with GGA-PBE.

Unit cell a=5.0078 b=5.0078 c=4.9992 alpha=90.00 beta=90.00 gamma=90.00
Space group P4/mmm (No. 123)
Asymmetric unit:
Ca 0.0000 0.5000 0.0000
Mg 0.0000 0.0000 0.5000
Sc 0.5000 0.5000 0.5000

Results
Total magnetization in μB per atom: 0.000
Crystal system: tetragonal
E_form in meV/atom: 128

=====

Record 3
Crystalline Ca3Mg4Sc at its relaxed geometry, computed with GGA-PBE.

Unit cell a=3.7766 b=3.7766 c=16.2339 alpha=90.00 beta=90.00 gamma=90.00
Space group P4/mmm (No. 123)
Asymmetric unit:
Ca 0.0000 0.0000 0.0000
Ca 0.0000 0.0000 0.2658
Mg 0.5000 0.5000 0.1323
Mg 0.5000 0.5000 0.3971
Sc 0.0000 0.0000 0.5000

Results
Total magnetization in μB per atom: 0.006
Crystal system: tetragonal
E_form in meV/atom: -58

=====

Record 4
Crystalline Ca2MgSc at its relaxed geometry, computed with GGA-PBE.

Unit cell a=11.8324 b=3.6087 c=6.0400 alpha=90.00 beta=102.72 gamma=90.00
Space group C2/m (No. 12)
Asymmetric unit:
Ca 0.2457 0.0000 0.2507
Mg 0.0000 0.5000 0.0000
Sc 0.0000 0.0000 0.5000

Results
Total magnetization in μB per atom: 0.223
Crystal system: monoclinic
E_form in meV/atom: 160

=====

Record 5
Crystalline CaMgSc2 at its relaxed geometry, computed with GGA-PBE.

Unit cell a=8.4191 b=8.4191 c=6.3418 alpha=90.00 beta=90.00 gamma=90.00
Space group I-42d (No. 122)
Asymmetric unit:
Ca 0.0000 0.0000 0.0000
Mg 0.0000 0.0000 0.5000
Sc 0.2225 0.7500 0.6250

Results
Total magnetization in μB per atom: 0.000
Crystal system: tetragonal
E_form in meV/atom: 428

=====

Record 6
Crystalline Ca2MgSc at its relaxed geometry, computed with GGA-PBE.

Unit cell a=5.0285 b=5.0285 c=9.9188 alpha=90.00 beta=90.00 gamma=90.00
Space group I4/mmm (No. 139)
Asymmetric unit:
Ca 0.0000 0.5000 0.2500
Mg 0.0000 0.0000 0.0000
Sc 0.0000 0.0000 0.5000

Results
Total magnetization in μB per atom: 0.000
Crystal system: tetragonal
E_form in meV/atom: 152

=====

Record 7
Crystalline Ca5Mg6Sc at its relaxed geometry, computed with GGA-PBE.

Unit cell a=17.4725 b=7.7334 c=5.5381 alpha=90.00 beta=108.21 gamma=90.00
Space group C2/m (No. 12)
Asymmetric unit:
Ca 0.0000 0.0000 0.0000
Ca 0.1636 0.0000 0.6638
Ca 0.1724 0.5000 0.6729
Mg 0.0000 0.2786 0.5000
Mg 0.1588 0.2650 0.1590
Sc 0.0000 0.5000 0.0000

Results
Total magnetization in μB per atom: 0.000
Crystal system: monoclinic
E_form in meV/atom: -57

=====

Record 8
Crystalline Ca3MgSc at its relaxed geometry, computed with GGA-PBE.

Unit cell a=5.9874 b=5.9874 c=5.9874 alpha=90.00 beta=90.00 gamma=90.00
Space group Pm-3m (No. 221)
Asymmetric unit:
Ca 0.0000 0.0000 0.5000
Mg 0.5000 0.5000 0.5000
Sc 0.0000 0.0000 0.0000

Results
Polymorph energy (0 for the lowest one) in meV/atom: 153
Total magnetization in μB per atom: 0.593
Crystal system: cubic
E_form in meV/atom: 749